Entry 1:
The following is a PBE-GGA calculation of Ag2SeBr after structural relaxation, from Alexandria via LeMat-Bulk.

Cell: 6.017 6.017 6.017 Å, 144.30 91.23 99.59°
Fractional positions:
Ag 0.012 0.012 0.000
Ag 0.488 0.488 0.000
Br 0.750 0.250 0.500
Se 0.250 0.750 0.500

## Properties
Raw formation energy in eV/atom: -0.009
Space-group type: Immm, No. 71
Total magnetization in μB per atom: 0.000

Entry 2:
The following is a PBE-GGA calculation of Ag2SeBr4 after structural relaxation, from Alexandria via LeMat-Bulk.

Cell: 7.091 7.091 6.330 Å, 124.06 124.06 90.00°
Fractional positions:
Ag 0.750 0.250 0.500
Ag 0.250 0.750 0.500
Se 0.500 0.500 0.000
Br 0.822 0.309 0.131
Br 0.309 0.822 0.131
Br 0.691 0.691 0.869
Br 0.178 0.178 0.869

## Properties
Raw formation energy in eV/atom: -0.101
Space-group type: I-42m, No. 121
Total magnetization in μB per atom: 0.000

Entry 3:
The following is a PBE-GGA calculation of AgSeBr after structural relaxation, from Alexandria via LeMat-Bulk.

Cell: 4.371 4.503 19.202 Å, 123.92 75.37 61.08°
Fractional positions:
Ag 0.406 0.664 0.014
Ag 0.414 0.692 0.467
Se 0.151 0.676 0.774
Se 0.670 0.680 0.708
Br 0.301 0.077 0.395
Br 0.519 0.279 0.086

## Properties
Raw formation energy in eV/atom: -0.147
Space-group type: P-1, No. 2
Total magnetization in μB per atom: 0.000

Entry 4:
The following is a PBE-GGA calculation of AgSe2Br after structural relaxation, from Alexandria via LeMat-Bulk.

Cell: 2.867 2.867 12.621 Å, 90.00 90.00 90.02°
Fractional positions:
Ag 0.500 0.500 0.250
Br 0.500 0.500 0.750
Se 0.000 0.000 0.071
Se 0.000 0.000 0.429

## Properties
Raw formation energy in eV/atom: 0.206
Space-group type: P4/mmm, No. 123
Total magnetization in μB per atom: 0.000

Entry 5:
The following is a PBE-GGA calculation of AgSeBr3 after structural relaxation, from Alexandria via LeMat-Bulk.

Cell: 6.479 7.434 16.050 Å, 90.00 103.51 90.00°
Fractional positions:
Ag 0.988 0.619 0.420
Ag 0.512 0.119 0.080
Ag 0.012 0.381 0.580
Ag 0.488 0.881 0.920
Se 0.502 0.609 0.170
Se 0.998 0.109 0.330
Se 0.498 0.391 0.830
Se 0.002 0.891 0.670
Br 0.298 0.578 0.697
Br 0.202 0.078 0.803
Br 0.702 0.422 0.303
Br 0.798 0.922 0.197
Br 0.755 0.139 0.625
Br 0.745 0.639 0.875
Br 0.245 0.861 0.375
Br 0.255 0.361 0.125
Br 0.775 0.698 0.542
Br 0.725 0.198 0.958
Br 0.225 0.302 0.458
Br 0.275 0.802 0.042

## Properties
Raw formation energy in eV/atom: -0.133
Space-group type: P2_1/c, No. 14
Total magnetization in μB per atom: 0.000

Entry 6:
The following is a PBE-GGA calculation of Ag2SeBr after structural relaxation, from Alexandria via LeMat-Bulk.

Cell: 3.938 3.938 7.178 Å, 74.19 74.19 60.31°
Fractional positions:
Se 0.250 0.250 0.250
Br 0.750 0.750 0.750
Ag 0.991 0.991 0.025
Ag 0.509 0.509 0.475

## Properties
Raw formation energy in eV/atom: -0.117
Space-group type: C2/m, No. 12
Total magnetization in μB per atom: 0.000

| no. | VASP energy (eV/atom) |
| --- | --- |
| 1 | -2.724 |
| 2 | -2.369 |
| 3 | -2.816 |
| 4 | -2.667 |
| 5 | -2.404 |
| 6 | -2.832 |